i) ScHg3P after structural relaxation. Source: the Alexandria database, functional PBE-GGA.

## Properties
- M_tot (Bohr magnetons per cell) = 0.0

abc: 5.4526 5.4526 5.4526
angles: 90.00 90.00 90.00
With the nearest neighbours (Å) after each atom.
Space group Pm-3m (No. 221)
Inequivalent atoms, fractional coordinates:
Sc: 0.0000 0.0000 0.0000 x1  6 Hg 2.73
Hg: 0.0000 0.0000 0.5000 x3  2 Sc 2.73
P: 0.5000 0.5000 0.5000 x1  12 Hg 3.86

***

ii) ScHg3P after structural relaxation. Source: the Alexandria database, functional PBE-GGA.

## Properties
- M_tot (Bohr magnetons per cell) = 0.0

abc: 5.0570 5.0570 5.0570
angles: 90.00 90.00 90.00
With the nearest neighbours (Å) after each atom.
Space group Pm-3m (No. 221)
Inequivalent atoms, fractional coordinates:
Sc: 0.0000 0.0000 0.0000 x1  12 Hg 3.58
Hg: 0.0000 0.5000 0.5000 x3  2 P 2.53
P: 0.5000 0.5000 0.5000 x1  6 Hg 2.53

***

So which one is most stable? That would be ii), about 35.6 kJ/mol of atoms below the next structure.

***

i) ScHgP3 after structural relaxation. Source: the Alexandria database, functional PBE-GGA.

## Properties
- M_tot (Bohr magnetons per cell) = 0.0

abc: 4.9582 4.9582 4.9582
angles: 90.00 90.00 90.00
With the nearest neighbours (Å) after each atom.
Space group Pm-3m (No. 221)
Inequivalent atoms, fractional coordinates:
Sc: 0.0000 0.0000 0.0000 x1  6 P 2.48
Hg: 0.5000 0.5000 0.5000 x1  12 P 3.51
P: 0.0000 0.0000 0.5000 x3  2 Sc 2.48

***

ii) ScHgP3 after structural relaxation. Source: the Alexandria database, functional PBE-GGA.

## Properties
- M_tot (Bohr magnetons per cell) = 0.0

abc: 4.9182 4.9182 4.9182
angles: 90.00 90.00 90.00
With the nearest neighbours (Å) after each atom.
Space group Pm-3m (No. 221)
Inequivalent atoms, fractional coordinates:
Sc: 0.0000 0.0000 0.0000 x1  12 P 3.48
Hg: 0.5000 0.5000 0.5000 x1  6 P 2.46
P: 0.0000 0.5000 0.5000 x3  2 Hg 2.46

***

So which one is most stable? That would be i), about 42.1 kJ/mol of atoms below the next structure.